Density functional theory data (GGA-PBE) for Ti2ZnIn2 after structural relaxation.

Unit cell a=6.809 b=6.809 c=4.342 alpha=90.00 beta=90.00 gamma=90.00
Each line ends with the local moment (μB).
Fractional positions:
Ti1 0.860 0.640 0.000  0.63
In1 0.664 0.836 0.500  -0.01
Zn1 0.000 0.000 0.000  0.04
Ti2 0.140 0.360 0.000  0.63
Zn2 0.500 0.500 0.000  0.04
In2 0.336 0.164 0.500  -0.01
Ti3 0.640 0.140 0.000  0.63
Ti4 0.360 0.860 0.000  0.63
In3 0.836 0.336 0.500  -0.01
In4 0.164 0.664 0.500  -0.01

## Properties
formation energy from the elements = 0.038 eV/atom
size of the total moment = 3.2 μB per cell
SG = P4/mbm (127)
V = 20.13 Å³/atom

***

Density functional theory data (GGA-PBE) for TiZn2In after structural relaxation.

Unit cell a=2.965 b=2.965 c=8.159 alpha=90.00 beta=90.00 gamma=90.00
Fractional positions:
Zn1 0.000 0.000 0.775
Ti1 0.500 0.500 0.000
In1 0.500 0.500 0.500
Zn2 0.000 0.000 0.225

## Properties
formation energy from the elements = -0.003 eV/atom
size of the total moment = 0.0 μB per cell
SG = P4/mmm (123)
V = 17.93 Å³/atom

***

Density functional theory data (GGA-PBE) for ZrTiZnIn after structural relaxation.

Unit cell a=3.002 b=3.002 c=8.398 alpha=90.00 beta=90.00 gamma=90.00
Each line ends with the local moment (μB).
Fractional positions:
Zn1 0.500 0.500 0.335  0.00
Zr1 0.000 0.000 0.094  0.04
In1 0.500 0.500 0.809  0.00
Ti1 0.000 0.000 0.547  0.26

## Properties
formation energy from the elements = -0.202 eV/atom
size of the total moment = 0.4 μB per cell
SG = P4mm (99)
V = 18.92 Å³/atom

***

Density functional theory data (GGA-PBE) for Zr3Ti2In2 after structural relaxation.

Unit cell a=2.999 b=4.988 c=10.113 alpha=104.30 beta=90.00 gamma=90.00
Fractional positions:
Zr1 0.000 0.000 0.000
Ti1 0.000 0.566 0.133
Ti2 0.000 0.434 0.867
In1 0.500 0.142 0.284
In2 0.500 0.858 0.716
Zr2 0.000 0.709 0.418
Zr3 0.000 0.291 0.582

## Properties
formation energy from the elements = 0.044 eV/atom
size of the total moment = 0.0 μB per cell
SG = Cmmm (65)
V = 20.94 Å³/atom

***

Density functional theory data (GGA-PBE) for Zr4TiIn5 after structural relaxation.

Unit cell a=3.136 b=3.136 c=21.924 alpha=90.00 beta=90.00 gamma=90.00
Fractional positions:
In1 0.500 0.500 0.296
Zr1 0.000 0.000 0.398
Zr2 0.000 0.000 0.806
Ti1 0.000 0.000 0.000
Zr3 0.000 0.000 0.194
In2 0.500 0.500 0.704
In3 0.500 0.500 0.908
Zr4 0.000 0.000 0.602
In4 0.500 0.500 0.500
In5 0.500 0.500 0.092

## Properties
formation energy from the elements = -0.277 eV/atom
size of the total moment = 0.0 μB per cell
SG = P4/mmm (123)
V = 21.56 Å³/atom

***

Density functional theory data (GGA-PBE) for ZrTi4In after structural relaxation.

Unit cell a=4.256 b=4.286 c=6.568 alpha=70.96 beta=90.00 gamma=90.00
Fractional positions:
Ti1 0.500 0.177 0.646
Ti2 0.500 0.823 0.354
Zr1 0.500 0.500 0.000
Ti3 0.000 0.327 0.347
In1 0.000 0.000 0.000
Ti4 0.000 0.673 0.653

## Properties
formation energy from the elements = -0.089 eV/atom
size of the total moment = 0.0 μB per cell
SG = Cmmm (65)
V = 18.88 Å³/atom

***

Density functional theory data (GGA-PBE) for Zr4Ti9In11 after structural relaxation.

Unit cell a=3.006 b=12.686 c=12.686 alpha=90.77 beta=90.00 gamma=90.00
Each line ends with the local moment (μB).
Fractional positions:
In1 0.000 0.000 0.000  0.00
In2 0.000 0.765 0.765  0.00
Ti1 0.500 0.871 0.375  -0.01
In3 0.000 0.172 0.828  0.00
Zr1 0.500 0.450 0.280  0.03
Zr2 0.500 0.720 0.550  0.03
In4 0.000 0.235 0.235  0.00
Ti2 0.500 0.795 0.968  0.00
In5 0.000 0.411 0.072  0.00
Ti3 0.500 0.032 0.205  0.00
Ti4 0.500 0.968 0.795  0.00
In6 0.000 0.928 0.589  0.00
Ti5 0.500 0.205 0.032  0.00
Ti6 0.500 0.375 0.871  -0.01
In7 0.000 0.828 0.172  0.00
Ti7 0.500 0.625 0.129  -0.01
In8 0.000 0.589 0.928  0.00
Zr3 0.500 0.550 0.720  0.03
Ti8 0.500 0.500 0.500  0.77
In9 0.000 0.072 0.411  0.00
Zr4 0.500 0.280 0.450  0.03
In10 0.000 0.654 0.346  -0.01
In11 0.000 0.346 0.654  -0.01
Ti9 0.500 0.129 0.625  -0.01

## Properties
formation energy from the elements = -0.123 eV/atom
size of the total moment = 1.0 μB per cell
SG = Cmmm (65)
V = 20.15 Å³/atom

***

Density functional theory data (GGA-PBE) for Zr3TiIn2 after structural relaxation.

Unit cell a=7.106 b=7.106 c=8.940 alpha=90.00 beta=90.00 gamma=144.87
Fractional positions:
Zr1 0.168 0.832 0.236
In1 0.000 0.000 0.000
Zr2 0.832 0.168 0.236
In2 0.332 0.668 0.500
Zr3 0.500 0.500 0.754
Zr4 0.500 0.500 0.246
Zr5 0.168 0.832 0.764
Zr6 0.832 0.168 0.764
Ti1 0.326 0.674 0.000
In3 0.668 0.332 0.500
Ti2 0.674 0.326 0.000
In4 0.000 0.000 0.500

## Properties
formation energy from the elements = -0.214 eV/atom
size of the total moment = 0.0 μB per cell
SG = Cmmm (65)
V = 21.65 Å³/atom

***

Density functional theory data (GGA-PBE) for Zr12TiIn3 after structural relaxation.

Unit cell a=4.464 b=4.464 c=17.914 alpha=90.00 beta=90.00 gamma=90.00
Fractional positions:
Zr1 0.500 0.500 0.749
Zr2 0.500 0.000 0.375
Zr3 0.000 0.500 0.122
Zr4 0.000 0.500 0.375
Ti1 0.000 0.000 0.000
In1 0.000 0.000 0.500
Zr5 0.500 0.500 0.500
Zr6 0.500 0.500 0.251
Zr7 0.000 0.500 0.878
Zr8 0.000 0.500 0.625
Zr9 0.500 0.500 0.000
In2 0.000 0.000 0.249
Zr10 0.500 0.000 0.878
Zr11 0.500 0.000 0.122
In3 0.000 0.000 0.751
Zr12 0.500 0.000 0.625

## Properties
formation energy from the elements = -0.166 eV/atom
size of the total moment = 0.0 μB per cell
SG = P4/mmm (123)
V = 22.31 Å³/atom

***

Density functional theory data (GGA-PBE) for ZrTi2In after structural relaxation.

Unit cell a=3.377 b=3.377 c=6.922 alpha=90.00 beta=90.00 gamma=90.00
Fractional positions:
Ti1 0.000 0.000 0.250
Zr1 0.500 0.500 0.000
In1 0.500 0.500 0.500
Ti2 0.000 0.000 0.750

## Properties
formation energy from the elements = -0.056 eV/atom
size of the total moment = 0.0 μB per cell
SG = P4/mmm (123)
V = 19.74 Å³/atom

***

Density functional theory data (GGA-PBE) for Zr4TiIn after structural relaxation.

Unit cell a=5.209 b=5.556 c=5.972 alpha=90.83 beta=64.14 gamma=62.05
Each line ends with the local moment (μB).
Fractional positions:
Zr1 0.848 0.825 0.479  -0.01
Zr2 0.347 0.308 0.999  -0.02
Zr3 0.152 0.175 0.521  -0.01
Ti1 0.000 0.000 0.000  0.40
In1 0.500 0.500 0.500  0.01
Zr4 0.653 0.692 0.001  -0.02

## Properties
formation energy from the elements = 0.011 eV/atom
size of the total moment = 0.4 μB per cell
SG = C2/m (12)
V = 22.01 Å³/atom

***

Density functional theory data (GGA-PBE) for ZrTi3In3 after structural relaxation.

Unit cell a=4.809 b=8.215 c=8.215 alpha=120.00 beta=90.00 gamma=90.00
Fractional positions:
Ti1 0.750 0.782 0.980
Ti2 0.750 0.198 0.218
In1 0.750 0.919 0.370
In2 0.250 0.081 0.630
Ti3 0.250 0.980 0.198
In3 0.250 0.550 0.919
Ti4 0.250 0.218 0.020
In4 0.750 0.450 0.081
Zr1 0.750 0.333 0.667
Zr2 0.250 0.667 0.333
In5 0.250 0.370 0.450
Ti5 0.250 0.802 0.782
In6 0.750 0.630 0.550
Ti6 0.750 0.020 0.802

## Properties
formation energy from the elements = -0.123 eV/atom
size of the total moment = 0.0 μB per cell
SG = P6_3/m (176)
V = 20.08 Å³/atom

***

Please write out number 9 again, unchanged.
Density functional theory data (GGA-PBE) for Zr12TiIn3 after structural relaxation.

Unit cell a=4.464 b=4.464 c=17.914 alpha=90.00 beta=90.00 gamma=90.00
Fractional positions:
Zr1 0.500 0.500 0.749
Zr2 0.500 0.000 0.375
Zr3 0.000 0.500 0.122
Zr4 0.000 0.500 0.375
Ti1 0.000 0.000 0.000
In1 0.000 0.000 0.500
Zr5 0.500 0.500 0.500
Zr6 0.500 0.500 0.251
Zr7 0.000 0.500 0.878
Zr8 0.000 0.500 0.625
Zr9 0.500 0.500 0.000
In2 0.000 0.000 0.249
Zr10 0.500 0.000 0.878
Zr11 0.500 0.000 0.122
In3 0.000 0.000 0.751
Zr12 0.500 0.000 0.625

## Properties
formation energy from the elements = -0.166 eV/atom
size of the total moment = 0.0 μB per cell
SG = P4/mmm (123)
V = 22.31 Å³/atom

***

Which of these has the lowest V? TiZn2In

***

The lowest formation energy from the elements belongs to which entry? Zr4TiIn5

***

What is the formula in the tenth record? ZrTi2In